Record 1
First-principles (GGA-PBE) data for K4Na3 after structural relaxation, as listed in the Alexandria database.

Cell: 6.827 6.716 10.600 Å, 109.71 90.00 120.55°
Positions (direct):
Na1 0.642 0.283 0.924
Na2 0.358 0.717 0.076
Na3 0.500 0.000 0.500
K1 0.219 0.438 0.654
K2 0.068 0.137 0.206
K3 0.781 0.562 0.346
K4 0.932 0.863 0.794

Values from the calculation:
Fermi-level density of states ... 0.67 states/eV/atom
DFT formation energy ... 0.03 eV per atom
Energy above the lowest structure with this stoichiometry ... 15 meV per atom

***

Record 2
First-principles (GGA-PBE) data for SrY2MgTc after structural relaxation, as listed in the Alexandria database.

Cell: 5.311 5.311 5.550 Å, 90.00 90.00 90.00°
Positions (direct):
Y1 0.500 0.000 0.000
Y2 0.000 0.500 0.000
Tc1 0.000 0.000 0.000
Sr1 0.500 0.500 0.500
Mg1 0.000 0.000 0.500

Values from the calculation:
Fermi-level density of states ... 0.77 states/eV/atom
DFT formation energy ... 0.12 eV per atom

***

Record 3
First-principles (GGA-PBE) data for Al2Mo2Rh after structural relaxation, as listed in the Alexandria database.

Cell: 6.436 6.436 3.647 Å, 90.00 90.00 90.00°
Positions (direct):
Rh1 0.000 0.000 0.000
Rh2 0.500 0.500 0.000
Mo1 0.666 0.834 0.500
Mo2 0.334 0.166 0.500
Mo3 0.166 0.666 0.500
Mo4 0.834 0.334 0.500
Al1 0.137 0.363 0.000
Al2 0.863 0.637 0.000
Al3 0.363 0.863 0.000
Al4 0.637 0.137 0.000

Values from the calculation:
Fermi-level density of states ... 1.15 states/eV/atom
DFT formation energy ... -0.12 eV per atom

***

Record 4
First-principles (GGA-PBE) data for Ta3CoB7 after structural relaxation, as listed in the Alexandria database.

Cell: 3.181 7.374 8.739 Å, 90.00 90.00 102.45°
Positions (direct):
Ta1 0.107 0.213 0.055
Ta2 0.751 0.503 0.250
Ta3 0.893 0.787 0.945
Ta4 0.107 0.213 0.445
Ta5 0.249 0.497 0.750
Ta6 0.893 0.787 0.555
B1 0.367 0.735 0.151
B2 0.273 0.545 0.468
B3 0.486 0.971 0.406
B4 0.633 0.265 0.849
B5 0.514 0.029 0.906
B6 0.430 0.860 0.750
B7 0.727 0.455 0.968
B8 0.727 0.455 0.532
B9 0.633 0.265 0.651
B10 0.570 0.140 0.250
B11 0.367 0.735 0.349
B12 0.486 0.971 0.094
B13 0.514 0.029 0.594
B14 0.273 0.545 0.032
Co1 0.050 0.099 0.750
Co2 0.950 0.901 0.250

Values from the calculation:
Fermi-level density of states ... 0.39 states/eV/atom
DFT formation energy ... -0.59 eV per atom

***

Record 5
First-principles (GGA-PBE) data for SrBeRh2 after structural relaxation, as listed in the Alexandria database.

Cell: 4.243 4.243 5.823 Å, 68.73 68.73 60.01°
Site moments in Bohr magnetons follow the coordinates.
Positions (direct):
Rh1 0.685 0.685 0.944  0.08
Rh2 0.996 0.996 0.013  0.07
Sr1 0.501 0.501 0.498  0.00
Be1 0.318 0.318 0.045  0.00

Values from the calculation:
Fermi-level density of states ... 1.21 states/eV/atom
DFT formation energy ... -0.23 eV per atom

***

Record 6
First-principles (GGA-PBE) data for Rb2PdF7 after structural relaxation, as listed in the Alexandria database.

Cell: 6.348 6.348 6.348 Å, 60.00 60.00 60.00°
Site moments in Bohr magnetons follow the coordinates.
Positions (direct):
Rb1 0.750 0.750 0.750  0.00
Rb2 0.250 0.250 0.250  0.00
Pd1 0.000 0.000 0.000  0.20
F1 0.500 0.500 0.500  0.60
F2 0.217 0.783 0.217  0.04
F3 0.217 0.783 0.783  0.04
F4 0.217 0.217 0.783  0.04
F5 0.783 0.217 0.217  0.04
F6 0.783 0.217 0.783  0.04
F7 0.783 0.783 0.217  0.04

Values from the calculation:
Fermi-level density of states ... 1.49 states/eV/atom
Energy above the lowest structure with this stoichiometry ... 0 meV per atom
Raw formation energy ... -1734 kJ/mol of formula units

***

Record 7
First-principles (GGA-PBE) data for Li2Zn3Ga4 after structural relaxation, as listed in the Alexandria database.

Cell: 4.247 4.654 11.275 Å, 51.33 79.15 62.85°
Positions (direct):
Zn1 0.379 0.869 0.372
Zn2 0.621 0.131 0.628
Zn3 0.000 0.000 0.000
Ga1 0.078 0.452 0.392
Ga2 0.658 0.763 0.920
Ga3 0.922 0.548 0.608
Ga4 0.342 0.237 0.080
Li1 0.687 0.384 0.241
Li2 0.313 0.616 0.759

Values from the calculation:
Fermi-level density of states ... 0.25 states/eV/atom
DFT formation energy ... -0.11 eV per atom
Energy above the lowest structure with this stoichiometry ... 0 meV per atom

***

Record 8
First-principles (GGA-PBE) data for AsPt2PbN after structural relaxation, as listed in the Alexandria database.

Cell: 4.563 5.969 4.563 Å, 90.00 90.00 90.00°
Positions (direct):
Pt1 0.500 0.000 0.000
Pt2 0.000 0.000 0.500
As1 0.000 0.000 0.000
Pb1 0.000 0.500 0.000
N1 0.500 0.500 0.500

Values from the calculation:
Fermi-level density of states ... 2.04 states/eV/atom
Raw formation energy ... 725 kJ/mol of formula units

***

Record 9
First-principles (GGA-PBE) data for KSi5 after structural relaxation, as listed in the Alexandria database.

Cell: 3.550 3.550 9.309 Å, 90.00 90.00 90.00°
Positions (direct):
Si1 0.500 0.500 0.366
Si2 0.000 0.000 0.500
Si3 0.000 0.000 0.257
Si4 0.000 0.000 0.743
Si5 0.500 0.500 0.634
K1 0.500 0.500 0.000

Values from the calculation:
Fermi-level density of states ... 0.41 states/eV/atom
Energy above the lowest structure with this stoichiometry ... 107 meV per atom
Raw formation energy ... 214 kJ/mol of formula units

***

Record 10
First-principles (GGA-PBE) data for CsLi3Ni after structural relaxation, as listed in the Alexandria database.

Cell: 5.126 5.126 5.126 Å, 90.00 90.00 90.00°
Positions (direct):
Cs1 0.500 0.500 0.500
Li1 0.500 0.000 0.000
Li2 0.000 0.000 0.500
Li3 0.000 0.500 0.000
Ni1 0.000 0.000 0.000

Values from the calculation:
Fermi-level density of states ... 0.45 states/eV/atom
DFT formation energy ... 0.35 eV per atom
Energy above the lowest structure with this stoichiometry ... 0 meV per atom

***

Record 11
First-principles (GGA-PBE) data for SrErVN3 after structural relaxation, as listed in the Alexandria database.

Cell: 3.801 6.817 7.204 Å, 104.64 90.00 106.19°
Positions (direct):
Er1 0.344 0.688 0.424
Er2 0.656 0.312 0.576
Sr1 0.647 0.294 0.075
Sr2 0.353 0.706 0.925
N1 0.504 0.008 0.313
N2 0.852 0.705 0.194
N3 0.158 0.317 0.346
N4 0.496 0.992 0.687
N5 0.842 0.683 0.654
N6 0.148 0.295 0.806
V1 0.000 0.000 0.300
V2 0.000 0.000 0.700

Values from the calculation:
Raw formation energy ... -618 kJ/mol of formula units

***

Record 12
First-principles (GGA-PBE) data for Tb4PmHo7 after structural relaxation, as listed in the Alexandria database.

Cell: 6.794 8.708 9.012 Å, 83.71 94.46 47.64°
Positions (direct):
Tb1 0.226 0.162 0.313
Tb2 0.443 0.361 0.713
Tb3 0.557 0.639 0.287
Tb4 0.774 0.838 0.687
Pm1 0.000 0.000 0.000
Ho1 0.500 0.000 0.000
Ho2 0.265 0.485 0.050
Ho3 0.704 0.191 0.387
Ho4 0.296 0.809 0.613
Ho5 0.735 0.515 0.950
Ho6 0.018 0.684 0.358
Ho7 0.982 0.316 0.642

Values from the calculation:
Fermi-level density of states ... 1.69 states/eV/atom
DFT formation energy ... 0.09 eV per atom
Energy above the lowest structure with this stoichiometry ... 0 meV per atom

***

| no. | spin magnetization (Bohr magnetons per cell) |
| --- | --- |
| 1 | 0.000 |
| 2 | 0.000 |
| 3 | 0.000 |
| 4 | 0.001 |
| 5 | 0.135 |
| 6 | 1.177 |
| 7 | 0.000 |
| 8 | 0.000 |
| 9 | 0.000 |
| 10 | 0.000 |
| 11 | 0.000 |
| 12 | 0.000 |